Compound: MnBeHg2
Source: Alexandria
Functional: meta-GGA SCAN
Structure: PBEsol geometry

Computed properties:
As for the density of states at the Fermi level: 1.6 states/eV/cell. As for the electronic total energy: -39.54 eV per atom. As for the space group: P4/mmm (123).

Lattice parameters (Å, degrees): 4.334 4.334 3.389 90.00 90.00 90.00
Positions (direct):
Mn: 0.000 0.000 0.000
Be: 0.500 0.500 0.000
Hg: 0.000 0.500 0.500
Hg: 0.500 0.000 0.500